# AlCr2Mo PBE relaxed
# ΔH_f (0 K) ... 0.7208 eV per atom
# M_tot ... 2.82 μB/f.u.
data_AlCr2Mo
_space_group_name_H-M_alt 'I -4 2 d'
_space_group_IT_number 122
_space_group_name_Hall 'I -4 2bw'
_cell_length_a 6.8170
_cell_length_b 6.8170
_cell_length_c 5.2325
_cell_angle_alpha 90.00
_cell_angle_beta 90.00
_cell_angle_gamma 90.00
loop_
_atom_site_label
_atom_site_type_symbol
_atom_site_fract_x
_atom_site_fract_y
_atom_site_fract_z
Al1 Al 0.0000 0.0000 0.0000
Cr1 Cr 0.2259 0.2500 0.6250
Mo1 Mo 0.0000 0.0000 0.5000

***

# Ba8Na2In PBE relaxed
# ΔH_f (0 K) ... -0.0624 eV per atom
# M_tot ... 0.00 μB/f.u.
data_Ba8Na2In
_space_group_name_H-M_alt 'C 1 2/m 1'
_space_group_IT_number 12
_space_group_name_Hall '-C 2y'
_cell_length_a 22.1152
_cell_length_b 6.4127
_cell_length_c 8.4412
_cell_angle_alpha 90.00
_cell_angle_beta 95.84
_cell_angle_gamma 90.00
loop_
_atom_site_label
_atom_site_type_symbol
_atom_site_fract_x
_atom_site_fract_y
_atom_site_fract_z
Ba1 Ba 0.0270 0.0000 0.2800
Ba2 Ba 0.0866 0.5000 0.8962
Ba3 Ba 0.1590 0.5000 0.4240
Ba4 Ba 0.2152 0.0000 0.1275
Na1 Na 0.1609 0.0000 0.6741
In1 In 0.0000 0.5000 0.5000

***

Among the records above, which one has the highest ΔH_f (0 K)? AlCr2Mo